#A
# UPa2S6 | Alexandria | PBE | optimized geometry
# **ρ**: 5.98 Mg/m³
# **DOS(E_F)**: 28.47 states/eV/cell
data_UPa2S6
_chemical_formula_sum 'U2 Pa4 S12'
_cell_length_a 6.324
_cell_length_b 6.324
_cell_length_c 12.385
_cell_angle_alpha 90.00
_cell_angle_beta 90.00
_cell_angle_gamma 90.00
_space_group_name_H-M_alt 'P 42/m n m'
_space_group_IT_number 136
_space_group_name_Hall '-P 4n 2n'
loop_
_atom_site_label
_atom_site_fract_x
_atom_site_fract_y
_atom_site_fract_z
U1 0.000 0.000 0.000
Pa1 0.000 0.000 0.334
S1 0.194 0.194 0.500
S2 0.197 0.197 0.169

#B
# UPa2S6 | Alexandria | PBE | optimized geometry
# **ρ**: 6.74 Mg/m³
# **DOS(E_F)**: 22.42 states/eV/cell
data_UPa2S6
_chemical_formula_sum 'U2 Pa4 S12'
_cell_length_a 6.695
_cell_length_b 6.779
_cell_length_c 10.829
_cell_angle_alpha 90.00
_cell_angle_beta 116.49
_cell_angle_gamma 90.00
_space_group_name_H-M_alt 'P 1 21/c 1'
_space_group_IT_number 14
_space_group_name_Hall '-P 2ybc'
loop_
_atom_site_label
_atom_site_fract_x
_atom_site_fract_y
_atom_site_fract_z
U1 0.000 0.000 0.000
Pa1 0.332 0.106 0.783
S1 0.047 0.093 0.247
S2 0.283 0.686 0.097
S3 0.380 0.190 0.062

Most stable of them? #B.

#A
# U6PaS8 | Alexandria | PBE | optimized geometry
# **ρ**: 10.02 Mg/m³
# **DOS(E_F)**: 71.52 states/eV/cell
data_U6PaS8
_chemical_formula_sum 'U18 Pa3 S24'
_cell_length_a 8.4109
_cell_length_b 8.4109
_cell_length_c 15.5475
_cell_angle_alpha 90.00
_cell_angle_beta 90.00
_cell_angle_gamma 120.00
_space_group_name_H-M_alt 'R -3'
_space_group_IT_number 148
_space_group_name_Hall '-R 3'
loop_
_atom_site_label
_atom_site_fract_x
_atom_site_fract_y
_atom_site_fract_z
U1 0.0124 0.5962 0.0633
Pa1 0.0000 0.0000 0.0000
S1 0.0000 0.0000 0.3199
S2 0.0200 0.2765 0.0978

#B
# U6PaS8 | Alexandria | PBE | optimized geometry
# **ρ**: 9.81 Mg/m³
# **DOS(E_F)**: 123.97 states/eV/cell
data_U6PaS8
_chemical_formula_sum 'U24 Pa4 S32'
_cell_length_a 10.906
_cell_length_b 10.906
_cell_length_c 10.906
_cell_angle_alpha 90.00
_cell_angle_beta 90.00
_cell_angle_gamma 90.00
_space_group_name_H-M_alt 'F m -3 m'
_space_group_IT_number 225
_space_group_name_Hall '-F 4 2 3'
loop_
_atom_site_label
_atom_site_fract_x
_atom_site_fract_y
_atom_site_fract_z
U1 0.000 0.250 0.250
Pa1 0.000 0.000 0.000
S1 0.000 0.000 0.257
S2 0.250 0.250 0.250

Most stable of them? #B.

#A
# PaVS2 | Alexandria | PBE | optimized geometry
# **ρ**: 8.16 Mg/m³
# **DOS(E_F)**: 14.38 states/eV/cell
data_PaVS2
_chemical_formula_sum 'Pa3 V3 S6'
_cell_length_a 3.8395
_cell_length_b 3.8395
_cell_length_c 16.5535
_cell_angle_alpha 90.00
_cell_angle_beta 90.00
_cell_angle_gamma 120.00
_space_group_name_H-M_alt 'R -3 m'
_space_group_IT_number 166
_space_group_name_Hall '-R 3 2"'
loop_
_atom_site_label
_atom_site_fract_x
_atom_site_fract_y
_atom_site_fract_z
Pa1 0.0000 0.0000 0.0000
V1 0.0000 0.0000 0.5000
S1 0.0000 0.0000 0.2356

#B
# PaVS2 | Alexandria | PBE | optimized geometry
# **ρ**: 8.58 Mg/m³
# **DOS(E_F)**: 19.62 states/eV/cell
data_PaVS2
_chemical_formula_sum 'Pa4 V4 S8'
_cell_length_a 6.448
_cell_length_b 6.448
_cell_length_c 6.448
_cell_angle_alpha 90.00
_cell_angle_beta 90.00
_cell_angle_gamma 90.00
_space_group_name_H-M_alt 'F m -3 m'
_space_group_IT_number 225
_space_group_name_Hall '-F 4 2 3'
loop_
_atom_site_label
_atom_site_fract_x
_atom_site_fract_y
_atom_site_fract_z
Pa1 0.000 0.000 0.000
V1 0.000 0.000 0.500
S1 0.250 0.250 0.250

Most stable of them? #A.

#A
# Pa2VS6 | Alexandria | PBE | optimized geometry
# **ρ**: 6.45 Mg/m³
# **DOS(E_F)**: 8.85 states/eV/cell
data_Pa2VS6
_chemical_formula_sum 'Pa4 V2 S12'
_cell_length_a 11.209
_cell_length_b 3.822
_cell_length_c 8.478
_cell_angle_alpha 90.00
_cell_angle_beta 90.37
_cell_angle_gamma 90.00
_space_group_name_H-M_alt 'C 1 2/m 1'
_space_group_IT_number 12
_space_group_name_Hall '-C 2y'
loop_
_atom_site_label
_atom_site_fract_x
_atom_site_fract_y
_atom_site_fract_z
Pa1 0.245 0.000 0.262
V1 0.000 0.500 0.000
S1 0.075 0.500 0.263
S2 0.139 0.000 0.947
S3 0.146 0.000 0.568

#B
# Pa2VS6 | Alexandria | PBE | optimized geometry
# **ρ**: 6.46 Mg/m³
# **DOS(E_F)**: 9.20 states/eV/cell
data_Pa2VS6
_chemical_formula_sum 'Pa4 V2 S12'
_cell_length_a 6.029
_cell_length_b 7.022
_cell_length_c 10.418
_cell_angle_alpha 90.00
_cell_angle_beta 124.71
_cell_angle_gamma 90.00
_space_group_name_H-M_alt 'P 1 21/c 1'
_space_group_IT_number 14
_space_group_name_Hall '-P 2ybc'
loop_
_atom_site_label
_atom_site_fract_x
_atom_site_fract_y
_atom_site_fract_z
Pa1 0.201 0.124 0.247
V1 0.500 0.000 0.000
S1 0.104 0.174 0.941
S2 0.290 0.689 0.939
S3 0.381 0.037 0.739

Most stable of them? #B.

#A
# PaVS | Alexandria | PBE | optimized geometry
# **ρ**: 9.13 Mg/m³
# **DOS(E_F)**: 6.33 states/eV/cell
data_PaVS
_chemical_formula_sum 'Pa2 V2 S2'
_cell_length_a 3.091
_cell_length_b 3.091
_cell_length_c 11.957
_cell_angle_alpha 90.00
_cell_angle_beta 90.00
_cell_angle_gamma 90.00
_space_group_name_H-M_alt 'I 4 m m'
_space_group_IT_number 107
_space_group_name_Hall 'I 4 -2'
loop_
_atom_site_label
_atom_site_fract_x
_atom_site_fract_y
_atom_site_fract_z
Pa1 0.000 0.000 0.000
V1 0.000 0.000 0.807
S1 0.000 0.000 0.227

#B
# PaVS | Alexandria | PBE | optimized geometry
# **ρ**: 9.98 Mg/m³
# **DOS(E_F)**: 5.73 states/eV/cell
data_PaVS
_chemical_formula_sum 'Pa1 V1 S1'
_cell_length_a 4.1768
_cell_length_b 4.1768
_cell_length_c 3.4573
_cell_angle_alpha 90.00
_cell_angle_beta 90.00
_cell_angle_gamma 120.00
_space_group_name_H-M_alt 'P -6 m 2'
_space_group_IT_number 187
_space_group_name_Hall 'P -6 2'
loop_
_atom_site_label
_atom_site_fract_x
_atom_site_fract_y
_atom_site_fract_z
Pa1 0.0000 0.0000 0.0000
V1 0.6667 0.3333 0.5000
S1 0.3333 0.6667 0.5000

#C
# PaVS | Alexandria | PBE | optimized geometry
# **ρ**: 9.52 Mg/m³
# **DOS(E_F)**: 18.35 states/eV/cell
data_PaVS
_chemical_formula_sum 'Pa4 V4 S4'
_cell_length_a 12.796
_cell_length_b 3.276
_cell_length_c 5.225
_cell_angle_alpha 90.00
_cell_angle_beta 90.00
_cell_angle_gamma 90.00
_space_group_name_H-M_alt 'P n m a'
_space_group_IT_number 62
_space_group_name_Hall '-P 2ac 2n'
loop_
_atom_site_label
_atom_site_fract_x
_atom_site_fract_y
_atom_site_fract_z
Pa1 0.203 0.250 0.055
V1 0.020 0.750 0.807
S1 0.114 0.250 0.543

Most stable of them? #B.

#A
# YPaS3 | Alexandria | PBE | optimized geometry
# **ρ**: 6.49 Mg/m³
# **DOS(E_F)**: 17.80 states/eV/cell
data_YPaS3
_chemical_formula_sum 'Y4 Pa4 S12'
_cell_length_a 7.357
_cell_length_b 3.875
_cell_length_c 14.939
_cell_angle_alpha 90.00
_cell_angle_beta 90.00
_cell_angle_gamma 90.00
_space_group_name_H-M_alt 'P n m a'
_space_group_IT_number 62
_space_group_name_Hall '-P 2ac 2n'
loop_
_atom_site_label
_atom_site_fract_x
_atom_site_fract_y
_atom_site_fract_z
Y1 0.241 0.250 0.044
Pa1 0.124 0.750 0.289
S1 0.006 0.750 0.108
S2 0.124 0.250 0.429
S3 0.151 0.750 0.724

#B
# YPaS3 | Alexandria | PBE | optimized geometry
# **ρ**: 5.33 Mg/m³
# **DOS(E_F)**: 26.06 states/eV/cell
data_YPaS3
_chemical_formula_sum 'Y6 Pa6 S18'
_cell_length_a 6.6312
_cell_length_b 6.6312
_cell_length_c 20.4203
_cell_angle_alpha 90.00
_cell_angle_beta 90.00
_cell_angle_gamma 120.00
_space_group_name_H-M_alt 'R 3 2'
_space_group_IT_number 155
_space_group_name_Hall 'R 3 2"'
loop_
_atom_site_label
_atom_site_fract_x
_atom_site_fract_y
_atom_site_fract_z
Y1 0.0000 0.0000 0.1560
Pa1 0.0000 0.0000 0.3429
S1 0.0013 0.3043 0.2493

Most stable of them? #A.

#A
# YPaS2 | Alexandria | PBE | optimized geometry
# **ρ**: 7.58 Mg/m³
# **DOS(E_F)**: 34.85 states/eV/cell
data_YPaS2
_chemical_formula_sum 'Y8 Pa8 S16'
_cell_length_a 7.818
_cell_length_b 15.589
_cell_length_c 6.705
_cell_angle_alpha 90.00
_cell_angle_beta 124.57
_cell_angle_gamma 90.00
_space_group_name_H-M_alt 'C 1 2/c 1'
_space_group_IT_number 15
_space_group_name_Hall '-C 2yc'
loop_
_atom_site_label
_atom_site_fract_x
_atom_site_fract_y
_atom_site_fract_z
Y1 0.000 0.061 0.250
Y2 0.000 0.187 0.750
Pa1 0.000 0.312 0.250
Pa2 0.000 0.437 0.750
S1 0.248 0.063 0.748
S2 0.249 0.188 0.249

#B
# YPaS2 | Alexandria | PBE | optimized geometry
# **ρ**: 7.50 Mg/m³
# **DOS(E_F)**: 12.79 states/eV/cell
data_YPaS2
_chemical_formula_sum 'Y3 Pa3 S6'
_cell_length_a 3.6872
_cell_length_b 3.6872
_cell_length_c 21.6645
_cell_angle_alpha 90.00
_cell_angle_beta 90.00
_cell_angle_gamma 120.00
_space_group_name_H-M_alt 'R 3 m'
_space_group_IT_number 160
_space_group_name_Hall 'R 3 -2"'
loop_
_atom_site_label
_atom_site_fract_x
_atom_site_fract_y
_atom_site_fract_z
Y1 0.0000 0.0000 0.0000
Pa1 0.0000 0.0000 0.1724
S1 0.0000 0.0000 0.5878
S2 0.0000 0.0000 0.7518

Most stable of them? #A.

#A
# Y2Pa3S8 | Alexandria | PBE | optimized geometry
# **ρ**: 6.34 Mg/m³
# **DOS(E_F)**: 22.94 states/eV/cell
data_Y2Pa3S8
_chemical_formula_sum 'Y4 Pa6 S16'
_cell_length_a 9.365
_cell_length_b 13.242
_cell_length_c 4.761
_cell_angle_alpha 90.00
_cell_angle_beta 90.00
_cell_angle_gamma 90.00
_space_group_name_H-M_alt 'C m m m'
_space_group_IT_number 65
_space_group_name_Hall '-C 2 2'
loop_
_atom_site_label
_atom_site_fract_x
_atom_site_fract_y
_atom_site_fract_z
Y1 0.000 0.229 0.000
Pa1 0.000 0.500 0.000
Pa2 0.234 0.000 0.500
S1 0.000 0.126 0.500
S2 0.000 0.385 0.500
S3 0.240 0.379 0.000

#B
# Y2Pa3S8 | Alexandria | PBE | optimized geometry
# **ρ**: 5.47 Mg/m³
# **DOS(E_F)**: 25.57 states/eV/cell
data_Y2Pa3S8
_chemical_formula_sum 'Y4 Pa6 S16'
_cell_length_a 14.033
_cell_length_b 7.877
_cell_length_c 6.517
_cell_angle_alpha 90.00
_cell_angle_beta 108.30
_cell_angle_gamma 90.00
_space_group_name_H-M_alt 'C 1 2/m 1'
_space_group_IT_number 12
_space_group_name_Hall '-C 2y'
loop_
_atom_site_label
_atom_site_fract_x
_atom_site_fract_y
_atom_site_fract_z
Y1 0.241 0.000 0.165
Pa1 0.000 0.253 0.500
Pa2 0.000 0.500 0.000
S1 0.108 0.000 0.401
S2 0.125 0.500 0.425
S3 0.127 0.263 0.918

Most stable of them? #A.

#A
# Y2Pa2S7 | Alexandria | PBE | optimized geometry
# **ρ**: 6.13 Mg/m³
# **DOS(E_F)**: 10.22 states/eV/cell
data_Y2Pa2S7
_chemical_formula_sum 'Y4 Pa4 S14'
_cell_length_a 3.884
_cell_length_b 14.022
_cell_length_c 8.596
_cell_angle_alpha 90.00
_cell_angle_beta 90.00
_cell_angle_gamma 90.00
_space_group_name_H-M_alt 'I m m 2'
_space_group_IT_number 44
_space_group_name_Hall 'I 2 -2'
loop_
_atom_site_label
_atom_site_fract_x
_atom_site_fract_y
_atom_site_fract_z
Y1 0.000 0.000 0.000
Y2 0.000 0.500 0.040
Pa1 0.000 0.260 0.803
S1 0.000 0.141 0.492
S2 0.000 0.184 0.103
S3 0.000 0.388 0.318
S4 0.000 0.500 0.724

#B
# Y2Pa2S7 | Alexandria | PBE | optimized geometry
# **ρ**: 5.22 Mg/m³
# **DOS(E_F)**: 10.49 states/eV/cell
data_Y2Pa2S7
_chemical_formula_sum 'Y2 Pa2 S7'
_cell_length_a 4.602
_cell_length_b 4.602
_cell_length_c 12.985
_cell_angle_alpha 90.00
_cell_angle_beta 90.00
_cell_angle_gamma 90.00
_space_group_name_H-M_alt 'P -4 m 2'
_space_group_IT_number 115
_space_group_name_Hall 'P -4 -2'
loop_
_atom_site_label
_atom_site_fract_x
_atom_site_fract_y
_atom_site_fract_z
Y1 0.000 0.500 0.138
Pa1 0.000 0.500 0.625
S1 0.000 0.000 0.238
S2 0.000 0.000 0.500
S3 0.500 0.500 0.000
S4 0.500 0.500 0.258
S5 0.500 0.500 0.500

Most stable of them? #A.

#A
# Zr2PaS | Alexandria | PBE | optimized geometry
# **ρ**: 8.39 Mg/m³
# **DOS(E_F)**: 14.75 states/eV/cell
data_Zr2PaS
_chemical_formula_sum 'Zr6 Pa3 S3'
_cell_length_a 3.2508
_cell_length_b 3.2508
_cell_length_c 28.9220
_cell_angle_alpha 90.00
_cell_angle_beta 90.00
_cell_angle_gamma 120.00
_space_group_name_H-M_alt 'R -3 m'
_space_group_IT_number 166
_space_group_name_Hall '-R 3 2"'
loop_
_atom_site_label
_atom_site_fract_x
_atom_site_fract_y
_atom_site_fract_z
Zr1 0.0000 0.0000 0.1035
Pa1 0.0000 0.0000 0.0000
S1 0.0000 0.0000 0.5000

#B
# Zr2PaS | Alexandria | PBE | optimized geometry
# **ρ**: 8.55 Mg/m³
# **DOS(E_F)**: 15.67 states/eV/cell
data_Zr2PaS
_chemical_formula_sum 'Zr6 Pa3 S3'
_cell_length_a 3.3394
_cell_length_b 3.3394
_cell_length_c 26.8913
_cell_angle_alpha 90.00
_cell_angle_beta 90.00
_cell_angle_gamma 120.00
_space_group_name_H-M_alt 'R 3 m'
_space_group_IT_number 160
_space_group_name_Hall 'R 3 -2"'
loop_
_atom_site_label
_atom_site_fract_x
_atom_site_fract_y
_atom_site_fract_z
Zr1 0.0000 0.0000 0.0000
Zr2 0.0000 0.0000 0.1999
Pa1 0.0000 0.0000 0.7670
S1 0.0000 0.0000 0.5993

Most stable of them? #B.